DFT (PBE-GGA) results for a relaxed LaHgO2 crystal.

Computed properties:
DFT total energy	-90.5	eV for the cell shown
D(E_F)	0.2417	states/eV/atom
formation energy (no corrections)	-1.87	eV per atom

Structure (CIF):
```
data_LaHgO2
_chemical_formula_sum 'La4 Hg4 O8'
_symmetry_space_group_name_H-M 'I -4 2 d'
_symmetry_Int_Tables_number 122
_symmetry_space_group_name_Hall 'I -4 2bw'
_cell_length_a 5.467
_cell_length_b 5.467
_cell_length_c 11.743
_cell_angle_alpha 90.00
_cell_angle_beta 90.00
_cell_angle_gamma 90.00
loop_
_atom_site_label
_atom_site_fract_x
_atom_site_fract_y
_atom_site_fract_z
La1 0.000 0.000 0.000
Hg1 0.000 0.000 0.500
O1 0.207 0.250 0.125
```

DFT (PBE-GGA) results for a relaxed LaHgO crystal.

Computed properties:
DFT total energy	-31.0	eV for the cell shown
D(E_F)	0.6398	states/eV/atom
formation energy (no corrections)	-1.77	eV per atom

Structure (CIF):
```
data_LaHgO
_chemical_formula_sum 'La2 Hg2 O2'
_symmetry_space_group_name_H-M 'I 4 m m'
_symmetry_Int_Tables_number 107
_symmetry_space_group_name_Hall 'I 4 -2'
_cell_length_a 3.443
_cell_length_b 3.443
_cell_length_c 12.575
_cell_angle_alpha 90.00
_cell_angle_beta 90.00
_cell_angle_gamma 90.00
loop_
_atom_site_label
_atom_site_fract_x
_atom_site_fract_y
_atom_site_fract_z
La1 0.000 0.000 0.000
Hg1 0.000 0.000 0.731
O1 0.000 0.000 0.487
```

DFT (PBE-GGA) results for a relaxed La2HgO2 crystal.

Computed properties:
DFT total energy	-56.8	eV for the cell shown
D(E_F)	0.5994	states/eV/atom
formation energy (no corrections)	-1.67	eV per atom

Structure (CIF):
```
data_La2HgO2
_chemical_formula_sum 'La4 Hg2 O4'
_symmetry_space_group_name_H-M 'P 4/m b m'
_symmetry_Int_Tables_number 127
_symmetry_space_group_name_Hall '-P 4 2ab'
_cell_length_a 7.957
_cell_length_b 7.957
_cell_length_c 3.182
_cell_angle_alpha 90.00
_cell_angle_beta 90.00
_cell_angle_gamma 90.00
loop_
_atom_site_label
_atom_site_fract_x
_atom_site_fract_y
_atom_site_fract_z
La1 0.140 0.360 0.000
Hg1 0.000 0.000 0.000
O1 0.115 0.615 0.500
```

DFT (PBE-GGA) results for a relaxed La3HgO2 crystal.

Computed properties:
DFT total energy	-74.9	eV for the cell shown
D(E_F)	0.6643	states/eV/atom
formation energy (no corrections)	-2.08	eV per atom

Structure (CIF):
```
data_La3HgO2
_chemical_formula_sum 'La6 Hg2 O4'
_symmetry_space_group_name_H-M 'I m m m'
_symmetry_Int_Tables_number 71
_symmetry_space_group_name_Hall '-I 2 2'
_cell_length_a 4.380
_cell_length_b 5.206
_cell_length_c 12.410
_cell_angle_alpha 90.00
_cell_angle_beta 90.00
_cell_angle_gamma 90.00
loop_
_atom_site_label
_atom_site_fract_x
_atom_site_fract_y
_atom_site_fract_z
La1 0.000 0.000 0.000
La2 0.000 0.500 0.224
Hg1 0.000 0.000 0.500
O1 0.000 0.000 0.197
```

no.,mass density (g/cm³)
1,7.0
2,7.9
3,8.4
4,7.6